# 1
# V2ZnBr PBE-GGA optimized geometry
# - energy relative to the lowest polymorph listed for this composition (eV per atom) = 0.000
# - raw formation energy (eV per atom) = 0.65
# - VASP energy (eV/atom) = -4.6474
data_V2ZnBr
_chemical_formula_sum 'V8 Zn4 Br4'
_cell_length_a 3.7966
_cell_length_b 3.7966
_cell_length_c 18.5361
_cell_angle_alpha 90.00
_cell_angle_beta 90.00
_cell_angle_gamma 90.00
_symmetry_space_group_name_H-M 'I -4 2 d'
_symmetry_Int_Tables_number 122
_symmetry_space_group_name_Hall 'I -4 2bw'
loop_
_atom_site_label
_atom_site_type_symbol
_atom_site_fract_x
_atom_site_fract_y
_atom_site_fract_z
V1 V 0.2341 0.2500 0.1250
Zn1 Zn 0.0000 0.0000 0.0000
Br1 Br 0.0000 0.0000 0.5000

---

# 2
# ScPd2Rh PBE-GGA optimized geometry
# - VASP energy (eV/atom) = -6.3866
data_ScPd2Rh
_chemical_formula_sum 'Sc4 Pd8 Rh4'
_cell_length_a 3.8087
_cell_length_b 3.8087
_cell_length_c 18.9080
_cell_angle_alpha 90.00
_cell_angle_beta 90.00
_cell_angle_gamma 90.00
_symmetry_space_group_name_H-M 'I -4 2 d'
_symmetry_Int_Tables_number 122
_symmetry_space_group_name_Hall 'I -4 2bw'
loop_
_atom_site_label
_atom_site_type_symbol
_atom_site_fract_x
_atom_site_fract_y
_atom_site_fract_z
Sc1 Sc 0.0000 0.0000 0.0000
Pd1 Pd 0.2457 0.2500 0.6250
Rh1 Rh 0.0000 0.0000 0.5000

---

# 3
# Pm2Be3ZnAu4 PBE-GGA optimized geometry
# - VASP energy (eV/atom) = -3.9666
data_Pm2Be3ZnAu4
_chemical_formula_sum 'Pm2 Be3 Zn1 Au4'
_cell_length_a 4.3613
_cell_length_b 4.3613
_cell_length_c 9.4665
_cell_angle_alpha 90.00
_cell_angle_beta 90.00
_cell_angle_gamma 90.00
_symmetry_space_group_name_H-M 'P -4 m 2'
_symmetry_Int_Tables_number 115
loop_
_symmetry_equiv_pos_as_xyz
'x,y,z'
'y,-x,-z'
'-x,-y,z'
'-y,x,-z'
'-x,y,z'
'-y,-x,-z'
'x,-y,z'
'y,x,-z'
loop_
_atom_site_label
_atom_site_type_symbol
_atom_site_fract_x
_atom_site_fract_y
_atom_site_fract_z
Pm1 Pm 0.0000 0.5000 0.2482
Be1 Be 0.0000 0.0000 0.0000
Be2 Be 0.0000 0.5000 0.6113
Zn1 Zn 0.5000 0.5000 0.0000
Au1 Au 0.0000 0.0000 0.5000
Au2 Au 0.0000 0.5000 0.8576
Au3 Au 0.5000 0.5000 0.5000

---

# 4
# Ca2BeSi PBE-GGA optimized geometry
# - energy relative to the lowest polymorph listed for this composition (eV per atom) = 0.877
# - raw formation energy (eV per atom) = 0.67
# - VASP energy (eV/atom) = -2.6217
data_Ca2BeSi
_chemical_formula_sum 'Ca8 Be4 Si4'
_cell_length_a 4.7754
_cell_length_b 4.7754
_cell_length_c 19.1623
_cell_angle_alpha 90.00
_cell_angle_beta 90.00
_cell_angle_gamma 90.00
_symmetry_space_group_name_H-M 'I -4 2 d'
_symmetry_Int_Tables_number 122
_symmetry_space_group_name_Hall 'I -4 2bw'
loop_
_atom_site_label
_atom_site_type_symbol
_atom_site_fract_x
_atom_site_fract_y
_atom_site_fract_z
Ca1 Ca 0.2474 0.2500 0.1250
Be1 Be 0.0000 0.0000 0.5000
Si1 Si 0.0000 0.0000 0.0000

---

# 5
# LaNbBr3 PBE-GGA optimized geometry
# - energy relative to the lowest polymorph listed for this composition (eV per atom) = 0.069
# - raw formation energy (eV per atom) = -0.23
# - VASP energy (eV/atom) = -4.2369
data_LaNbBr3
_chemical_formula_sum 'La1 Nb1 Br3'
_cell_length_a 5.8522
_cell_length_b 5.8522
_cell_length_c 5.8522
_cell_angle_alpha 90.00
_cell_angle_beta 90.00
_cell_angle_gamma 90.00
_symmetry_space_group_name_H-M 'P m -3 m'
_symmetry_Int_Tables_number 221
_symmetry_space_group_name_Hall '-P 4 2 3'
loop_
_atom_site_label
_atom_site_type_symbol
_atom_site_fract_x
_atom_site_fract_y
_atom_site_fract_z
La1 La 0.0000 0.0000 0.0000
Nb1 Nb 0.5000 0.5000 0.5000
Br1 Br 0.0000 0.0000 0.5000

---

# 6
# Ca2PmAs3Pt4 PBE-GGA optimized geometry
# - VASP energy (eV/atom) = -5.5169
data_Ca2PmAs3Pt4
_chemical_formula_sum 'Ca2 Pm1 As3 Pt4'
_cell_length_a 4.3112
_cell_length_b 4.3112
_cell_length_c 11.4333
_cell_angle_alpha 90.00
_cell_angle_beta 90.00
_cell_angle_gamma 90.00
_symmetry_space_group_name_H-M 'P -4 m 2'
_symmetry_Int_Tables_number 115
loop_
_symmetry_equiv_pos_as_xyz
'x,y,z'
'y,-x,-z'
'-x,-y,z'
'-y,x,-z'
'-x,y,z'
'-y,-x,-z'
'x,-y,z'
'y,x,-z'
loop_
_atom_site_label
_atom_site_type_symbol
_atom_site_fract_x
_atom_site_fract_y
_atom_site_fract_z
Ca1 Ca 0.0000 0.5000 0.2169
Pm1 Pm 0.0000 0.0000 0.5000
As1 As 0.0000 0.5000 0.8767
As2 As 0.5000 0.5000 0.5000
Pt1 Pt 0.0000 0.0000 0.0000
Pt2 Pt 0.0000 0.5000 0.6646
Pt3 Pt 0.5000 0.5000 0.0000